# Pu3B

Pu3B after structural relaxation (PBE, Alexandria).

POSCAR file:
```
Pu3B
1.0
-1.176 4.459 2.865
1.176 -4.459 2.865
1.176 4.459 -2.865
Pu B
3 1
Direct
0.000 0.000 0.000
0.145 0.341 0.804
0.537 0.341 0.196
0.602 0.102 0.500
```

V	15.0	Å³/atom
total magnetization	0.00	μB/atom
ΔE_f	0.42	eV per atom
E	-12.001	eV/atom
space group	Imm2



# CeThCo2

CeThCo2 after structural relaxation (PBE, Alexandria).

POSCAR file:
```
CeThCo2
1.0
0.000 3.404 3.404
3.404 0.000 3.404
3.404 3.404 0.000
Ce Th Co
1 1 2
Direct
0.000 0.000 0.000
0.500 0.500 0.500
0.250 0.250 0.250
0.750 0.750 0.750
```

V	19.7	Å³/atom
polymorph energy (0 for the lowest one)	0.209	eV per atom
total magnetization	0.00	μB/atom
ΔE_f	-0.09	eV per atom
E	-6.979	eV/atom
space group	Fm-3m



# KMgZn

KMgZn after structural relaxation (PBE, Alexandria).

POSCAR file:
```
KMgZn
1.0
0.000 3.729 3.729
3.729 0.000 3.729
3.729 3.729 0.000
K Mg Zn
1 1 1
Direct
0.000 0.000 0.000
0.500 0.500 0.500
0.250 0.250 0.250
```

V	34.6	Å³/atom
polymorph energy (0 for the lowest one)	0.237	eV per atom
total magnetization	0.00	μB/atom
ΔE_f	0.30	eV per atom
E	-1.026	eV/atom
space group	F-43m



# Na2BeSiO4

Na2BeSiO4 after structural relaxation (PBE, Alexandria).

POSCAR file:
```
Na2BeSiO4
1.0
7.089 0.000 0.000
0.000 5.013 0.000
-0.018 0.000 10.030
Na Be Si O
8 4 4 16
Direct
0.002 0.208 0.390
0.002 0.292 0.890
0.265 0.681 0.359
0.265 0.819 0.859
0.735 0.181 0.141
0.735 0.319 0.641
0.998 0.708 0.110
0.998 0.792 0.610
0.499 0.658 0.088
0.499 0.842 0.588
0.501 0.158 0.412
0.501 0.342 0.912
0.279 0.156 0.157
0.279 0.344 0.657
0.721 0.656 0.343
0.721 0.844 0.843
0.061 0.234 0.125
0.061 0.266 0.625
0.316 0.661 0.620
0.316 0.839 0.120
0.319 0.206 0.318
0.319 0.294 0.818
0.437 0.165 0.574
0.437 0.335 0.074
0.563 0.665 0.926
0.563 0.835 0.426
0.681 0.706 0.182
0.681 0.794 0.682
0.684 0.161 0.880
0.684 0.339 0.380
0.939 0.734 0.375
0.939 0.766 0.875
```

V	11.1	Å³/atom
polymorph energy (0 for the lowest one)	0.000	eV per atom
total magnetization	0.00	μB/atom
E	-6.417	eV/atom
energy relative to the elements, uncorrected	-2.465	eV/atom
space group	P2_1/c



# GeH3N

GeH3N after structural relaxation (PBE, Alexandria).

POSCAR file:
```
GeH3N
1.0
3.270 0.000 0.000
0.000 3.270 0.000
0.000 0.000 3.270
Ge H N
1 3 1
Direct
0.000 0.000 0.000
0.000 0.500 0.500
0.500 0.000 0.500
0.500 0.500 0.000
0.500 0.500 0.500
```

V	7.0	Å³/atom
polymorph energy (0 for the lowest one)	0.000	eV per atom
total magnetization	0.00	μB/atom
E	-3.407	eV/atom
space group	Pm-3m



# La2ReTe

La2ReTe after structural relaxation (PBE, Alexandria).

POSCAR file:
```
La2ReTe
1.0
-2.224 2.224 5.322
2.224 -2.224 5.322
2.224 2.224 -5.322
La Re Te
2 1 1
Direct
0.000 0.000 0.000
0.750 0.250 0.500
0.250 0.750 0.500
0.500 0.500 0.000
```

V	26.3	Å³/atom
total magnetization	0.26	μB/atom
E	-6.392	eV/atom
energy relative to the elements, uncorrected	-0.031	eV/atom
space group	I-4m2



# K2OsCl

K2OsCl after structural relaxation (PBE, Alexandria).

POSCAR file:
```
K2OsCl
1.0
-1.557 1.564 10.055
1.557 -1.564 10.055
1.557 1.564 -10.055
K Os Cl
2 1 1
Direct
0.000 0.000 0.000
0.778 0.278 0.500
0.148 0.648 0.500
0.402 0.402 0.000
```

V	24.5	Å³/atom
polymorph energy (0 for the lowest one)	0.102	eV per atom
total magnetization	0.18	μB/atom
E	-3.443	eV/atom
energy relative to the elements, uncorrected	0.375	eV/atom
space group	Imm2



# AlSi2Os

AlSi2Os after structural relaxation (PBE, Alexandria).

POSCAR file:
```
AlSi2Os
1.0
2.874 0.000 0.000
0.000 2.874 0.000
0.000 0.000 7.087
Al Si Os
1 2 1
Direct
0.000 0.000 0.000
0.000 0.000 0.442
0.500 0.500 0.708
0.500 0.500 0.241
```

V	14.6	Å³/atom
total magnetization	0.00	μB/atom
E	-6.434	eV/atom
energy relative to the elements, uncorrected	0.020	eV/atom
space group	P4mm



# PmHfTh2

PmHfTh2 after structural relaxation (PBE, Alexandria).

POSCAR file:
```
PmHfTh2
1.0
3.478 0.000 0.000
0.000 3.478 0.000
0.000 0.000 9.946
Pm Hf Th
1 1 2
Direct
0.000 0.000 0.000
0.000 0.000 0.500
0.500 0.500 0.269
0.500 0.500 0.731
```

V	30.1	Å³/atom
polymorph energy (0 for the lowest one)	0.000	eV per atom
total magnetization	0.00	μB/atom
ΔE_f	0.12	eV per atom
E	-7.263	eV/atom
space group	P4/mmm



# CaMoRu2

CaMoRu2 after structural relaxation (PBE, Alexandria).

POSCAR file:
```
CaMoRu2
1.0
-1.428 2.353 5.137
1.428 -2.353 5.137
1.428 2.353 -5.137
Ca Mo Ru
1 1 2
Direct
0.000 0.000 0.000
0.287 0.787 0.500
0.511 0.511 0.000
0.721 0.221 0.500
```

V	17.3	Å³/atom
polymorph energy (0 for the lowest one)	0.244	eV per atom
total magnetization	0.00	μB/atom
ΔE_f	0.39	eV per atom
E	-7.455	eV/atom
space group	Imm2



# DyHoTm2Se4

DyHoTm2Se4 after structural relaxation (PBE, Alexandria).

POSCAR file:
```
DyHoTm2Se4
1.0
6.993 0.000 0.000
0.000 3.985 0.000
-2.276 0.000 6.693
Dy Ho Tm Se
1 1 2 4
Direct
0.000 0.000 0.000
0.500 0.500 0.000
0.000 0.500 0.500
0.500 0.000 0.500
0.249 0.000 0.745
0.253 0.500 0.255
0.747 0.500 0.745
0.751 0.000 0.255
```

V	23.3	Å³/atom
total magnetization	0.00	μB/atom
E	-5.703	eV/atom
energy relative to the elements, uncorrected	-1.695	eV/atom
space group	P2/m



# DyGaOs2C

DyGaOs2C after structural relaxation (PBE, Alexandria).

POSCAR file:
```
DyGaOs2C
1.0
1.996 -5.504 0.000
1.996 5.504 0.000
0.000 0.000 7.317
Dy Ga Os C
2 2 4 2
Direct
0.047 0.953 0.750
0.953 0.047 0.250
0.233 0.767 0.250
0.767 0.233 0.750
0.334 0.666 0.561
0.334 0.666 0.939
0.666 0.334 0.061
0.666 0.334 0.439
0.500 0.500 0.000
0.500 0.500 0.500
```

V	16.1	Å³/atom
total magnetization	0.00	μB/atom
ΔE_f	-0.26	eV per atom
E	-8.119	eV/atom
space group	Cmcm



# Li2AlAgF

Li2AlAgF after structural relaxation (PBE, Alexandria).

POSCAR file:
```
Li2AlAgF
1.0
4.880 0.000 0.000
0.000 4.880 0.000
0.000 0.000 4.907
Li Al Ag F
2 1 1 1
Direct
0.000 0.500 0.000
0.500 0.000 0.000
0.000 0.000 0.500
0.000 0.000 0.000
0.500 0.500 0.500
```

V	23.4	Å³/atom
total magnetization	0.00	μB/atom
E	-2.682	eV/atom
energy relative to the elements, uncorrected	-0.223	eV/atom
space group	P4/mmm



# CaLa2MnIn

CaLa2MnIn after structural relaxation (PBE, Alexandria).

POSCAR file:
```
CaLa2MnIn
1.0
5.150 0.000 0.000
0.000 5.150 0.000
0.000 0.000 5.675
Ca La Mn In
1 2 1 1
Direct
0.000 0.000 0.000
0.000 0.500 0.500
0.500 0.000 0.500
0.000 0.000 0.500
0.500 0.500 0.000
```

V	30.1	Å³/atom
total magnetization	0.12	μB/atom
ΔE_f	0.07	eV per atom
E	-4.678	eV/atom
space group	P4/mmm



# Al2CdGe2

Al2CdGe2 after structural relaxation (PBE, Alexandria).

POSCAR file:
```
Al2CdGe2
1.0
7.946 0.000 0.000
0.000 7.946 0.000
0.000 0.000 3.052
Al Cd Ge
4 2 4
Direct
0.140 0.360 0.000
0.360 0.860 0.000
0.640 0.140 0.000
0.860 0.640 0.000
0.000 0.000 0.500
0.500 0.500 0.500
0.154 0.654 0.500
0.346 0.154 0.500
0.654 0.846 0.500
0.846 0.346 0.500
```

V	19.3	Å³/atom
total magnetization	0.00	μB/atom
ΔE_f	0.16	eV per atom
E	-3.370	eV/atom
space group	P4/mbm



# Na2Pd2Se

Na2Pd2Se after structural relaxation (PBE, Alexandria).

POSCAR file:
```
Na2Pd2Se
1.0
6.630 0.000 0.000
0.000 6.630 0.000
0.000 0.000 4.670
Na Pd Se
4 4 2
Direct
0.165 0.335 0.000
0.335 0.835 0.000
0.665 0.165 0.000
0.835 0.665 0.000
0.153 0.653 0.500
0.347 0.153 0.500
0.653 0.847 0.500
0.847 0.347 0.500
0.000 0.000 0.500
0.500 0.500 0.500
```

V	20.5	Å³/atom
total magnetization	0.00	μB/atom
E	-3.660	eV/atom
energy relative to the elements, uncorrected	-0.359	eV/atom
space group	P4/mbm



# La4In2Pb

La4In2Pb after structural relaxation (PBE, Alexandria).

POSCAR file:
```
La4In2Pb
1.0
-3.029 3.029 7.904
3.029 -3.029 7.904
3.029 3.029 -7.904
La In Pb
4 2 1
Direct
0.000 0.500 0.500
0.197 0.197 0.000
0.500 0.000 0.500
0.803 0.803 0.000
0.396 0.396 0.000
0.604 0.604 0.000
0.000 0.000 0.000
```

V	41.4	Å³/atom
polymorph energy (0 for the lowest one)	0.279	eV per atom
total magnetization	0.00	μB/atom
ΔE_f	-0.08	eV per atom
E	-4.211	eV/atom
space group	I4/mmm



# Tm2MgFe

Tm2MgFe after structural relaxation (PBE, Alexandria).

POSCAR file:
```
Tm2MgFe
1.0
3.292 0.000 0.000
0.000 3.292 0.000
0.000 0.000 8.258
Tm Mg Fe
2 1 1
Direct
0.000 0.000 0.192
0.000 0.000 0.808
0.500 0.500 0.500
0.500 0.500 0.000
```

V	22.4	Å³/atom
polymorph energy (0 for the lowest one)	0.000	eV per atom
total magnetization	0.00	μB/atom
ΔE_f	-0.05	eV per atom
E	-4.803	eV/atom
space group	P4/mmm



# Pm2TmTl3Te6

Pm2TmTl3Te6 after structural relaxation (PBE, Alexandria).

POSCAR file:
```
Pm2TmTl3Te6
1.0
3.898 -6.750 0.000
3.898 6.750 0.000
-2.600 0.000 8.182
Pm Tm Tl Te
2 1 3 6
Direct
0.166 0.834 0.000
0.834 0.166 0.000
0.500 0.500 0.000
0.000 0.000 0.500
0.330 0.670 0.500
0.670 0.330 0.500
0.104 0.428 0.785
0.248 0.248 0.218
0.428 0.104 0.785
0.572 0.896 0.215
0.752 0.752 0.782
0.896 0.572 0.215
```

V	35.9	Å³/atom
total magnetization	0.00	μB/atom
E	-4.384	eV/atom
energy relative to the elements, uncorrected	-1.057	eV/atom
space group	C2/m



# Ce3PrSi4

Ce3PrSi4 after structural relaxation (PBE, Alexandria).

POSCAR file:
```
Ce3PrSi4
1.0
-1.977 3.243 8.016
1.977 -3.243 8.016
1.977 3.243 -8.016
Ce Pr Si
3 1 4
Direct
0.000 0.000 0.000
0.304 0.804 0.500
0.696 0.196 0.500
0.500 0.500 0.000
0.049 0.368 0.682
0.314 0.632 0.682
0.686 0.368 0.318
0.951 0.632 0.318
```

V	25.7	Å³/atom
total magnetization	0.13	μB/atom
E	-5.997	eV/atom
energy relative to the elements, uncorrected	-0.463	eV/atom
space group	Immm